Computed, not measured: a geometry-optimized Li5YMg4 structure at the PBE-GGA level of DFT.

Unit cell a=3.527 b=3.527 c=17.255 alpha=90.00 beta=90.00 gamma=90.00
Element x y z (fractional)
Li 0.500 0.500 0.878
Li 0.500 0.500 0.691
Li 0.500 0.500 0.500
Li 0.500 0.500 0.122
Mg 0.000 0.000 0.790
Mg 0.000 0.000 0.404
Mg 0.000 0.000 0.210
Li 0.500 0.500 0.309
Mg 0.000 0.000 0.596
Y 0.000 0.000 0.000

Calculated values
* calculated formation energy: -0.6 kJ per mole of atoms
* N(E_F): 7.0 states/eV/f.u.


Computed, not measured: a geometry-optimized LiYMg structure at the PBE-GGA level of DFT.

Unit cell a=3.530 b=3.524 c=12.066 alpha=89.97 beta=90.06 gamma=90.00
Element x y z (fractional)
Mg 0.372 0.792 0.962
Li 0.373 0.790 0.688
Y 0.872 0.292 0.152
Mg 0.873 0.291 0.550
Y 0.372 0.792 0.361
Li 0.872 0.290 0.824

Calculated values
* ΔE to the lowest computed polymorph: 0 meV per atom
* calculated formation energy: -3.7 kJ per mole of atoms
* N(E_F): 3.0 states/eV/f.u.


Computed, not measured: a geometry-optimized LiY5Mg6 structure at the PBE-GGA level of DFT.

Unit cell a=5.330 b=7.514 c=9.227 alpha=65.97 beta=73.34 gamma=89.99
Element x y z (fractional)
Y 0.317 0.819 0.363
Y 0.683 0.181 0.637
Li 0.000 0.000 0.000
Mg 0.159 0.386 0.687
Mg 0.841 0.614 0.313
Y 0.000 0.500 0.000
Mg 0.500 0.775 0.000
Mg 0.841 0.074 0.313
Y 0.665 0.664 0.671
Y 0.335 0.336 0.329
Mg 0.500 0.225 0.000
Mg 0.159 0.926 0.687

Calculated values
* calculated formation energy: -7.3 kJ per mole of atoms
* N(E_F): 13.5 states/eV/f.u.